Record 1
# Sc2TaAl (PBE, relaxed)
data_Sc2TaAl
_space_group_name_H-M_alt 'P 4 m m'
_space_group_IT_number 99
_cell_length_a 2.984
_cell_length_b 2.984
_cell_length_c 9.047
_cell_angle_alpha 90.00
_cell_angle_beta 90.00
_cell_angle_gamma 90.00
loop_
_space_group_symop_operation_xyz
'x,y,z'
'-y,x,z'
'-x,-y,z'
'y,-x,z'
'-x,y,z'
'y,x,z'
'x,-y,z'
'-y,-x,z'
loop_
_atom_site_label
_atom_site_fract_x
_atom_site_fract_y
_atom_site_fract_z
_atom_site_occupancy
Sc1 0.000 0.000 0.000 1
Sc2 0.500 0.500 0.304 1
Ta1 0.000 0.000 0.551 1
Al1 0.500 0.500 0.769 1
# ΔE_f in kJ/mol of atoms: -10.7
# Crystal system: tetragonal

***

Record 2
# Sc2TaAl (PBE, relaxed)
data_Sc2TaAl
_space_group_name_H-M_alt 'P m m 2'
_space_group_IT_number 25
_cell_length_a 3.088
_cell_length_b 4.112
_cell_length_c 6.257
_cell_angle_alpha 90.00
_cell_angle_beta 90.00
_cell_angle_gamma 90.00
loop_
_space_group_symop_operation_xyz
'x,y,z'
'-x,-y,z'
'-x,y,z'
'x,-y,z'
loop_
_atom_site_label
_atom_site_fract_x
_atom_site_fract_y
_atom_site_fract_z
_atom_site_occupancy
Sc1 0.000 0.000 0.000 1
Sc2 0.500 0.500 0.281 1
Ta1 0.000 0.000 0.525 1
Al1 0.500 0.500 0.748 1
# ΔE_f in kJ/mol of atoms: -5.8
# Crystal system: orthorhombic

***

Record 3
# ScTa4Al (PBE, relaxed)
data_ScTa4Al
_space_group_name_H-M_alt 'F -4 3 m'
_space_group_IT_number 216
_space_group_name_Hall 'F -4 2 3'
_cell_length_a 7.812
_cell_length_b 7.812
_cell_length_c 7.812
_cell_angle_alpha 90.00
_cell_angle_beta 90.00
_cell_angle_gamma 90.00
loop_
_atom_site_label
_atom_site_fract_x
_atom_site_fract_y
_atom_site_fract_z
_atom_site_occupancy
Sc1 0.000 0.000 0.000 1
Ta1 0.126 0.126 0.626 1
Al1 0.250 0.250 0.250 1
# ΔE_f in kJ/mol of atoms: 23.6
# Crystal system: cubic

***

Record 4
# ScTaAl2 (PBE, relaxed)
data_ScTaAl2
_space_group_name_H-M_alt 'P 4/m m m'
_space_group_IT_number 123
_space_group_name_Hall '-P 4 2'
_cell_length_a 4.180
_cell_length_b 4.180
_cell_length_c 4.059
_cell_angle_alpha 90.00
_cell_angle_beta 90.00
_cell_angle_gamma 90.00
loop_
_atom_site_label
_atom_site_fract_x
_atom_site_fract_y
_atom_site_fract_z
_atom_site_occupancy
Sc1 0.000 0.000 0.000 1
Ta1 0.500 0.500 0.000 1
Al1 0.000 0.500 0.500 1
# ΔE_f in kJ/mol of atoms: -22.2
# Crystal system: tetragonal

***

Record 5
# Sc2TaAl (PBE, relaxed)
data_Sc2TaAl
_space_group_name_H-M_alt 'P 4/m m m'
_space_group_IT_number 123
_space_group_name_Hall '-P 4 2'
_cell_length_a 4.258
_cell_length_b 4.258
_cell_length_c 4.303
_cell_angle_alpha 90.00
_cell_angle_beta 90.00
_cell_angle_gamma 90.00
loop_
_atom_site_label
_atom_site_fract_x
_atom_site_fract_y
_atom_site_fract_z
_atom_site_occupancy
Sc1 0.000 0.500 0.000 1
Ta1 0.000 0.000 0.500 1
Al1 0.500 0.500 0.500 1
# ΔE_f in kJ/mol of atoms: -9.5
# Crystal system: tetragonal

***

Record 6
# ScTaAl3 (PBE, relaxed)
data_ScTaAl3
_space_group_name_H-M_alt 'P m -3 m'
_space_group_IT_number 221
_space_group_name_Hall '-P 4 2 3'
_cell_length_a 4.926
_cell_length_b 4.926
_cell_length_c 4.926
_cell_angle_alpha 90.00
_cell_angle_beta 90.00
_cell_angle_gamma 90.00
loop_
_atom_site_label
_atom_site_fract_x
_atom_site_fract_y
_atom_site_fract_z
_atom_site_occupancy
Sc1 0.000 0.000 0.000 1
Ta1 0.500 0.500 0.500 1
Al1 0.000 0.500 0.500 1
# ΔE_f in kJ/mol of atoms: 52.0
# Crystal system: cubic

***

Record 7
# ScTa3Al (PBE, relaxed)
data_ScTa3Al
_space_group_name_H-M_alt 'P m -3 m'
_space_group_IT_number 221
_space_group_name_Hall '-P 4 2 3'
_cell_length_a 4.772
_cell_length_b 4.772
_cell_length_c 4.772
_cell_angle_alpha 90.00
_cell_angle_beta 90.00
_cell_angle_gamma 90.00
loop_
_atom_site_label
_atom_site_fract_x
_atom_site_fract_y
_atom_site_fract_z
_atom_site_occupancy
Sc1 0.000 0.000 0.000 1
Ta1 0.000 0.500 0.500 1
Al1 0.500 0.500 0.500 1
# ΔE_f in kJ/mol of atoms: 102.5
# Crystal system: cubic

***

Record 8
# ScTaAl2 (PBE, relaxed)
data_ScTaAl2
_space_group_name_H-M_alt 'P m m 2'
_space_group_IT_number 25
_cell_length_a 3.110
_cell_length_b 3.998
_cell_length_c 5.931
_cell_angle_alpha 90.00
_cell_angle_beta 90.00
_cell_angle_gamma 90.00
loop_
_space_group_symop_operation_xyz
'x,y,z'
'-x,-y,z'
'-x,y,z'
'x,-y,z'
loop_
_atom_site_label
_atom_site_fract_x
_atom_site_fract_y
_atom_site_fract_z
_atom_site_occupancy
Sc1 0.000 0.000 0.000 1
Ta1 0.500 0.500 0.252 1
Al1 0.000 0.000 0.489 1
Al2 0.500 0.500 0.735 1
# ΔE_f in kJ/mol of atoms: -4.5
# Crystal system: orthorhombic

***

Record 9
# ScTaAl2 (PBE, relaxed)
data_ScTaAl2
_space_group_name_H-M_alt 'I 4/m m m'
_space_group_IT_number 139
_space_group_name_Hall '-I 4 2'
_cell_length_a 4.149
_cell_length_b 4.149
_cell_length_c 8.215
_cell_angle_alpha 90.00
_cell_angle_beta 90.00
_cell_angle_gamma 90.00
loop_
_atom_site_label
_atom_site_fract_x
_atom_site_fract_y
_atom_site_fract_z
_atom_site_occupancy
Sc1 0.000 0.000 0.000 1
Ta1 0.000 0.000 0.500 1
Al1 0.000 0.500 0.250 1
# ΔE_f in kJ/mol of atoms: -26.7
# Crystal system: tetragonal

***

Record 10
# Sc2TaAl (PBE, relaxed)
data_Sc2TaAl
_space_group_name_H-M_alt 'C 1 2/m 1'
_space_group_IT_number 12
_cell_length_a 10.157
_cell_length_b 3.075
_cell_length_c 5.197
_cell_angle_alpha 90.00
_cell_angle_beta 102.96
_cell_angle_gamma 90.00
loop_
_space_group_symop_operation_xyz
'x,y,z'
'-x,-y,-z'
'-x,y,-z'
'x,-y,z'
'x+1/2,y+1/2,z'
'-x+1/2,-y+1/2,-z'
'-x+1/2,y+1/2,-z'
'x+1/2,-y+1/2,z'
loop_
_atom_site_label
_atom_site_fract_x
_atom_site_fract_y
_atom_site_fract_z
_atom_site_occupancy
Sc1 0.246 0.000 0.250 1
Ta1 0.000 0.000 0.500 1
Al1 0.000 0.500 0.000 1
# ΔE_f in kJ/mol of atoms: -1.3
# Crystal system: monoclinic

***

Record 11
# Sc2Ta2Al (PBE, relaxed)
data_Sc2Ta2Al
_space_group_name_H-M_alt 'P 4/m b m'
_space_group_IT_number 127
_space_group_name_Hall '-P 4 2ab'
_cell_length_a 7.108
_cell_length_b 7.108
_cell_length_c 4.068
_cell_angle_alpha 90.00
_cell_angle_beta 90.00
_cell_angle_gamma 90.00
loop_
_atom_site_label
_atom_site_fract_x
_atom_site_fract_y
_atom_site_fract_z
_atom_site_occupancy
Sc1 0.164 0.336 0.000 1
Ta1 0.134 0.634 0.500 1
Al1 0.000 0.000 0.500 1
# ΔE_f in kJ/mol of atoms: 13.2
# Crystal system: tetragonal

***

Record 12
# Sc2TaAl (PBE, relaxed)
data_Sc2TaAl
_space_group_name_H-M_alt 'R -3 m'
_space_group_IT_number 166
_space_group_name_Hall '-R 3 2"'
_cell_length_a 3.1095
_cell_length_b 3.1095
_cell_length_c 29.2382
_cell_angle_alpha 90.00
_cell_angle_beta 90.00
_cell_angle_gamma 120.00
loop_
_atom_site_label
_atom_site_fract_x
_atom_site_fract_y
_atom_site_fract_z
_atom_site_occupancy
Sc1 0.0000 0.0000 0.2501 1
Ta1 0.0000 0.0000 0.0000 1
Al1 0.0000 0.0000 0.5000 1
# ΔE_f in kJ/mol of atoms: -2.2
# Crystal system: trigonal

***

Record 13
# Sc3TaAl8 (PBE, relaxed)
data_Sc3TaAl8
_space_group_name_H-M_alt 'R 3 m'
_space_group_IT_number 160
_space_group_name_Hall 'R 3 -2"'
_cell_length_a 5.2845
_cell_length_b 5.2845
_cell_length_c 25.9343
_cell_angle_alpha 90.00
_cell_angle_beta 90.00
_cell_angle_gamma 120.00
loop_
_atom_site_label
_atom_site_fract_x
_atom_site_fract_y
_atom_site_fract_z
_atom_site_occupancy
Sc1 0.0000 0.0000 0.0000 1
Sc2 0.0000 0.0000 0.1257 1
Sc3 0.0000 0.0000 0.6232 1
Ta1 0.0000 0.0000 0.5002 1
Al1 0.0000 0.0000 0.3123 1
Al2 0.0000 0.0000 0.8124 1
Al3 0.0012 0.5006 0.0641 1
Al4 0.1669 0.3338 0.8940 1
# ΔE_f in kJ/mol of atoms: -39.4
# Crystal system: trigonal

***

Record 14
# ScTaAl2 (PBE, relaxed)
data_ScTaAl2
_space_group_name_H-M_alt 'C m m m'
_space_group_IT_number 65
_space_group_name_Hall '-C 2 2'
_cell_length_a 5.841
_cell_length_b 8.293
_cell_length_c 2.924
_cell_angle_alpha 90.00
_cell_angle_beta 90.00
_cell_angle_gamma 90.00
loop_
_atom_site_label
_atom_site_fract_x
_atom_site_fract_y
_atom_site_fract_z
_atom_site_occupancy
Sc1 0.000 0.000 0.000 1
Ta1 0.000 0.500 0.000 1
Al1 0.250 0.250 0.500 1
# ΔE_f in kJ/mol of atoms: -26.4
# Crystal system: orthorhombic